The following is a DFT calculation (GGA+U) of a relaxed structure of NaLiMoO3.

Lattice parameters (Å, degrees): 5.701 5.701 8.318 90.00 90.00 147.77
Atoms (fractional coordinates):
Na: 0.213 0.787 0.750
Na: 0.787 0.213 0.250
Li: 0.052 0.948 0.250
Li: 0.948 0.052 0.750
Mo: 0.500 0.500 0.000
Mo: 0.500 0.500 0.500
O: 0.120 0.880 0.045
O: 0.120 0.880 0.455
O: 0.454 0.546 0.250
O: 0.546 0.454 0.750
O: 0.880 0.120 0.545
O: 0.880 0.120 0.955

* volume: 72 Å³/f.u.
* E_tot: -0.432 Ry/atom
* crystal system: orthorhombic
* space-group type: Cmcm